First-principles (PBE with a Hubbard U) data for an optimized crystal structure of CdNiAg2F8, as listed in the Alexandria database.

Calculated values
E, eV per cell: -81.66
Calculated density, g/cm³: 4.8

abc: 6.8283 6.8283 8.0126
angles: 90.00 90.00 90.00
Space group I-4m2 (No. 119)
Unique sites:
Cd1 0.0000 0.0000 0.0000 x2
Ni1 0.0000 0.5000 0.7500 x2
Ag1 0.0000 0.0000 0.5000 x2
Ag2 0.0000 0.5000 0.2500 x2
F1 0.0000 0.2293 0.7041 x8
F2 0.0000 0.3135 0.0319 x8